The following is a GGA-PBE calculation of a geometry-optimized Er3Ag2Pt2 structure, from the Alexandria database.

Results
Space group   No. 65
Calculated density   11.762 Mg/m³
E   -5.23 eV per atom

Cell: 4.073 21.185 3.624 Å, 90.00 90.00 90.00°
Fractional coordinates of all 14 atoms:
Er (0.000, 0.000, 0.000)
Er (0.000, 0.171, 0.000)
Er (0.000, 0.829, 0.000)
Er (0.500, 0.329, 0.000)
Er (0.500, 0.500, 0.000)
Er (0.500, 0.671, 0.000)
Ag (0.000, 0.428, 0.500)
Ag (0.000, 0.572, 0.500)
Ag (0.500, 0.072, 0.500)
Ag (0.500, 0.928, 0.500)
Pt (0.000, 0.295, 0.500)
Pt (0.000, 0.705, 0.500)
Pt (0.500, 0.205, 0.500)
Pt (0.500, 0.795, 0.500)

=====

The following is a GGA-PBE calculation of a geometry-optimized Er6AgPt2 structure, from the Alexandria database.

Results
Space group   No. 71
Calculated density   10.931 Mg/m³
E   -5.39 eV per atom

Cell: 8.416 8.416 8.416 Å, 112.79 111.31 104.44°
Fractional coordinates of all 18 atoms:
Er (0.045, 0.240, 0.805)
Er (0.180, 0.284, 0.465)
Er (0.180, 0.716, 0.896)
Er (0.331, 0.030, 0.699)
Er (0.331, 0.631, 0.301)
Er (0.434, 0.240, 0.195)
Er (0.566, 0.760, 0.805)
Er (0.669, 0.369, 0.699)
Er (0.669, 0.970, 0.301)
Er (0.820, 0.284, 0.104)
Er (0.820, 0.716, 0.535)
Er (0.955, 0.760, 0.195)
Ag (0.000, 0.000, 0.000)
Ag (0.500, 0.500, 0.000)
Pt (0.135, 0.635, 0.500)
Pt (0.336, 0.000, 0.336)
Pt (0.664, 0.000, 0.664)
Pt (0.865, 0.365, 0.500)

=====

The following is a GGA-PBE calculation of a geometry-optimized Er4AgPt2 structure, from the Alexandria database.

Results
Space group   No. 166
Energy relative to the lowest polymorph listed for this composition   0.000 eV/atom
Calculated density   11.648 Mg/m³

Cell: 8.457 8.457 8.457 Å, 33.75 33.75 33.75°
Fractional coordinates of all 7 atoms:
Er (0.121, 0.121, 0.121)
Er (0.372, 0.372, 0.372)
Er (0.628, 0.628, 0.628)
Er (0.879, 0.879, 0.879)
Ag (0.500, 0.500, 0.500)
Pt (0.251, 0.251, 0.251)
Pt (0.749, 0.749, 0.749)

=====

The following is a GGA-PBE calculation of a geometry-optimized Er4Ag2Pt structure, from the Alexandria database.

Results
Space group   No. 166
Calculated density   10.193 Mg/m³
E   -4.75 eV per atom

Cell: 8.669 8.669 8.669 Å, 33.41 33.41 33.41°
Fractional coordinates of all 7 atoms:
Er (0.123, 0.123, 0.123)
Er (0.373, 0.373, 0.373)
Er (0.627, 0.627, 0.627)
Er (0.877, 0.877, 0.877)
Ag (0.246, 0.246, 0.246)
Ag (0.754, 0.754, 0.754)
Pt (0.000, 0.000, 0.000)

=====

The following is a GGA-PBE calculation of a geometry-optimized Er7Ag2Pt2 structure, from the Alexandria database.

Results
Space group   No. 65
Calculated density   9.734 Mg/m³
E   -4.99 eV per atom

Cell: 6.694 6.694 7.068 Å, 90.00 90.00 106.89°
Fractional coordinates of all 11 atoms:
Er (0.000, 0.000, 0.000)
Er (0.000, 0.500, 0.258)
Er (0.000, 0.500, 0.742)
Er (0.500, 0.000, 0.258)
Er (0.500, 0.000, 0.742)
Er (0.500, 0.500, 0.252)
Er (0.500, 0.500, 0.748)
Ag (0.184, 0.184, 0.500)
Ag (0.816, 0.816, 0.500)
Pt (0.285, 0.715, 0.000)
Pt (0.715, 0.285, 0.000)

=====

The following is a GGA-PBE calculation of a geometry-optimized ErAg2Pt structure, from the Alexandria database.

Results
Space group   No. 123
Calculated density   12.367 Mg/m³
E   -4.58 eV per atom

Cell: 4.029 4.029 4.783 Å, 90.00 90.00 90.00°
Fractional coordinates of all 4 atoms:
Er (0.000, 0.000, 0.000)
Ag (0.000, 0.500, 0.500)
Ag (0.500, 0.000, 0.500)
Pt (0.500, 0.500, 0.000)

=====

The following is a GGA-PBE calculation of a geometry-optimized Er4Ag3Pt structure, from the Alexandria database.

Results
Space group   No. 123
Calculated density   10.871 Mg/m³
E   -4.69 eV per atom

Cell: 3.559 3.559 14.324 Å, 90.00 90.00 90.00°
Fractional coordinates of all 8 atoms:
Er (0.000, 0.000, 0.115)
Er (0.000, 0.000, 0.372)
Er (0.000, 0.000, 0.628)
Er (0.000, 0.000, 0.885)
Ag (0.500, 0.500, 0.246)
Ag (0.500, 0.500, 0.500)
Ag (0.500, 0.500, 0.754)
Pt (0.500, 0.500, 0.000)

=====

The following is a GGA-PBE calculation of a geometry-optimized Er3Ag3Pt2 structure, from the Alexandria database.

Results
Space group   No. 189
Calculated density   11.629 Mg/m³
E   -5.06 eV per atom

Cell: 7.454 7.454 3.608 Å, 90.00 90.00 120.00°
Fractional coordinates of all 8 atoms:
Er (0.000, 0.413, 0.000)
Er (0.413, 0.000, 0.000)
Er (0.587, 0.587, 0.000)
Ag (0.000, 0.774, 0.500)
Ag (0.226, 0.226, 0.500)
Ag (0.774, 0.000, 0.500)
Pt (0.333, 0.667, 0.500)
Pt (0.667, 0.333, 0.500)

=====

The following is a GGA-PBE calculation of a geometry-optimized Er5Ag2Pt2 structure, from the Alexandria database.

Results
Space group   No. 64
Calculated density   10.958 Mg/m³
E   -5.24 eV per atom

Cell: 8.477 8.477 7.724 Å, 90.00 90.00 51.96°
Fractional coordinates of all 18 atoms:
Er (0.000, 0.000, 0.000)
Er (0.042, 0.702, 0.673)
Er (0.202, 0.542, 0.173)
Er (0.298, 0.958, 0.673)
Er (0.458, 0.798, 0.173)
Er (0.500, 0.500, 0.500)
Er (0.542, 0.202, 0.827)
Er (0.702, 0.042, 0.327)
Er (0.798, 0.458, 0.827)
Er (0.958, 0.298, 0.327)
Ag (0.210, 0.210, 0.000)
Ag (0.290, 0.290, 0.500)
Ag (0.710, 0.710, 0.500)
Ag (0.790, 0.790, 0.000)
Pt (0.132, 0.868, 0.365)
Pt (0.368, 0.632, 0.865)
Pt (0.632, 0.368, 0.135)
Pt (0.868, 0.132, 0.635)

=====

The following is a GGA-PBE calculation of a geometry-optimized Er4AgPt2 structure, from the Alexandria database.

Results
Space group   No. 166
Energy relative to the lowest polymorph listed for this composition   0.055 eV/atom
Calculated density   10.851 Mg/m³

Cell: 10.220 10.220 10.220 Å, 25.84 25.84 25.84°
Fractional coordinates of all 7 atoms:
Er (0.113, 0.113, 0.113)
Er (0.298, 0.298, 0.298)
Er (0.702, 0.702, 0.702)
Er (0.887, 0.887, 0.887)
Ag (0.500, 0.500, 0.500)
Pt (0.402, 0.402, 0.402)
Pt (0.598, 0.598, 0.598)

=====

The following is a GGA-PBE calculation of a geometry-optimized ErAgPt2 structure, from the Alexandria database.

Results
Space group   No. 123
Calculated density   15.394 Mg/m³
E   -5.72 eV per atom

Cell: 4.227 4.227 4.016 Å, 90.00 90.00 90.00°
Fractional coordinates of all 4 atoms:
Er (0.000, 0.000, 0.000)
Ag (0.500, 0.500, 0.000)
Pt (0.000, 0.500, 0.500)
Pt (0.500, 0.000, 0.500)

=====

The following is a GGA-PBE calculation of a geometry-optimized Er4Ag3Pt2 structure, from the Alexandria database.

Results
Space group   No. 12
Calculated density   11.662 Mg/m³
E   -5.03 eV per atom

Cell: 4.827 4.827 9.756 Å, 90.06 90.06 60.02°
Fractional coordinates of all 9 atoms:
Er (0.000, 0.000, 0.173)
Er (0.000, 0.000, 0.827)
Er (0.334, 0.334, 0.613)
Er (0.666, 0.666, 0.387)
Ag (0.000, 0.000, 0.500)
Ag (0.333, 0.333, 0.008)
Ag (0.667, 0.667, 0.992)
Pt (0.333, 0.333, 0.315)
Pt (0.667, 0.667, 0.685)